(i)
Density functional theory data (GGA-PBE) for crystalline ErTm2Sn at its relaxed geometry.

Computed properties:
space-group type	P4/mmm, No. 123
DOS(E_F)	4.0	states/eV/f.u.
total magnetization	0.00	μB per formula unit
volume	28.4	Å³/atom

a = 3.547 Å, b = 3.547 Å, c = 9.036 Å
α = 90.00°, β = 90.00°, γ = 90.00°
Fractional coordinates of all 4 atoms:
Er 0.000 0.000 0.000
Tm 0.500 0.500 0.269
Tm 0.500 0.500 0.731
Sn 0.000 0.000 0.500

---

(ii)
Density functional theory data (GGA-PBE) for crystalline ErTm2Sn at its relaxed geometry.

Computed properties:
space-group type	P2_1/m, No. 11
DOS(E_F)	4.7	states/eV/f.u.
total magnetization	0.00	μB per formula unit
volume	27.9	Å³/atom

a = 6.689 Å, b = 5.102 Å, c = 6.732 Å
α = 90.00°, β = 103.60°, γ = 90.00°
Fractional coordinates of all 8 atoms:
Er 0.129 0.250 0.412
Er 0.871 0.750 0.588
Tm 0.154 0.250 0.918
Tm 0.373 0.750 0.234
Tm 0.627 0.250 0.766
Tm 0.846 0.750 0.082
Sn 0.365 0.750 0.722
Sn 0.635 0.250 0.278

---

Tell me which of them is the least stable. Sure, it is (i).

---

(i)
Density functional theory data (GGA-PBE) for crystalline YErSn2 at its relaxed geometry.

Computed properties:
space-group type	P4/mmm, No. 123
DOS(E_F)	4.4	states/eV/f.u.
total magnetization	0.01	μB per formula unit
volume	26.3	Å³/atom

a = 4.900 Å, b = 4.900 Å, c = 4.381 Å
α = 90.00°, β = 90.00°, γ = 90.00°
Fractional coordinates of all 4 atoms:
Y 0.000 0.000 0.000
Er 0.500 0.500 0.000
Sn 0.000 0.500 0.500
Sn 0.500 0.000 0.500

---

(ii)
Density functional theory data (GGA-PBE) for crystalline YErSn2 at its relaxed geometry.

Computed properties:
space-group type	Amm2, No. 38
DOS(E_F)	2.6	states/eV/f.u.
total magnetization	0.00	μB per formula unit
volume	27.3	Å³/atom

a = 4.300 Å, b = 6.113 Å, c = 6.113 Å
α = 42.87°, β = 90.00°, γ = 90.00°
Fractional coordinates of all 4 atoms:
Y 0.000 0.000 0.000
Er 0.500 0.268 0.268
Sn 0.000 0.728 0.728
Sn 0.500 0.539 0.539

---

Tell me which of them is the least stable. Sure, it is (i).

---

(i)
Density functional theory data (GGA-PBE) for crystalline YErSn2 at its relaxed geometry.

Computed properties:
space-group type	Fm-3m, No. 225
DOS(E_F)	2.7	states/eV/f.u.
total magnetization	0.00	μB per formula unit
volume	27.0	Å³/atom

a = 5.344 Å, b = 5.344 Å, c = 5.344 Å
α = 60.00°, β = 60.00°, γ = 60.00°
Fractional coordinates of all 4 atoms:
Y 0.000 0.000 0.000
Er 0.500 0.500 0.500
Sn 0.250 0.250 0.250
Sn 0.750 0.750 0.750

---

(ii)
Density functional theory data (GGA-PBE) for crystalline YErSn2 at its relaxed geometry.

Computed properties:
space-group type	R-3m, No. 166
DOS(E_F)	2.2	states/eV/f.u.
total magnetization	0.00	μB per formula unit
volume	28.5	Å³/atom

a = 9.163 Å, b = 9.163 Å, c = 9.163 Å
α = 24.23°, β = 24.23°, γ = 24.23°
Fractional coordinates of all 4 atoms:
Y 0.000 0.000 0.000
Er 0.500 0.500 0.500
Sn 0.249 0.249 0.249
Sn 0.751 0.751 0.751

---

(iii)
Density functional theory data (GGA-PBE) for crystalline YErSn2 at its relaxed geometry.

Computed properties:
space-group type	P4/mmm, No. 123
DOS(E_F)	3.2	states/eV/f.u.
total magnetization	0.00	μB per formula unit
volume	26.3	Å³/atom

a = 3.468 Å, b = 3.468 Å, c = 8.757 Å
α = 90.00°, β = 90.00°, γ = 90.00°
Fractional coordinates of all 4 atoms:
Y 0.000 0.000 0.000
Er 0.000 0.000 0.500
Sn 0.500 0.500 0.252
Sn 0.500 0.500 0.748

---

Tell me which of them is the least stable. Sure, it is (ii).

---

(i)
Density functional theory data (GGA-PBE) for crystalline YEr2Sn at its relaxed geometry.

Computed properties:
space-group type	P4/mmm, No. 123
DOS(E_F)	4.9	states/eV/f.u.
total magnetization	0.04	μB per formula unit
volume	27.4	Å³/atom

a = 4.779 Å, b = 4.779 Å, c = 4.802 Å
α = 90.00°, β = 90.00°, γ = 90.00°
Fractional coordinates of all 4 atoms:
Y 0.000 0.000 0.000
Er 0.000 0.500 0.500
Er 0.500 0.000 0.500
Sn 0.500 0.500 0.000

---

(ii)
Density functional theory data (GGA-PBE) for crystalline YEr2Sn at its relaxed geometry.

Computed properties:
space-group type	R-3m, No. 166
DOS(E_F)	4.3	states/eV/f.u.
total magnetization	0.00	μB per formula unit
volume	31.4	Å³/atom

a = 12.028 Å, b = 12.028 Å, c = 12.028 Å
α = 16.71°, β = 16.71°, γ = 16.71°
Fractional coordinates of all 4 atoms:
Y 0.000 0.000 0.000
Er 0.413 0.413 0.413
Er 0.587 0.587 0.587
Sn 0.500 0.500 0.500

---

Tell me which of them is the least stable. Sure, it is (ii).

---

(i)
Density functional theory data (GGA-PBE) for crystalline YEr2Sn at its relaxed geometry.

Computed properties:
space-group type	P4/mmm, No. 123
DOS(E_F)	5.4	states/eV/f.u.
total magnetization	0.00	μB per formula unit
volume	29.3	Å³/atom

a = 3.704 Å, b = 3.704 Å, c = 8.530 Å
α = 90.00°, β = 90.00°, γ = 90.00°
Fractional coordinates of all 4 atoms:
Y 0.000 0.000 0.000
Er 0.500 0.500 0.279
Er 0.500 0.500 0.721
Sn 0.000 0.000 0.500

---

(ii)
Density functional theory data (GGA-PBE) for crystalline YEr2Sn at its relaxed geometry.

Computed properties:
space-group type	Cmcm, No. 63
DOS(E_F)	4.6	states/eV/f.u.
total magnetization	0.00	μB per formula unit
volume	29.1	Å³/atom

a = 6.871 Å, b = 6.871 Å, c = 6.755 Å
α = 90.00°, β = 90.00°, γ = 133.04°
Fractional coordinates of all 8 atoms:
Y 0.071 0.929 0.750
Y 0.929 0.071 0.250
Er 0.368 0.632 0.518
Er 0.368 0.632 0.982
Er 0.632 0.368 0.018
Er 0.632 0.368 0.482
Sn 0.172 0.828 0.250
Sn 0.828 0.172 0.750

---

Tell me which of them is the least stable. Sure, it is (ii).

---

(i)
Density functional theory data (GGA-PBE) for crystalline ErZrSn2 at its relaxed geometry.

Computed properties:
space-group type	P4/mmm, No. 123
DOS(E_F)	3.2	states/eV/f.u.
total magnetization	0.00	μB per formula unit
volume	23.9	Å³/atom

a = 4.676 Å, b = 4.676 Å, c = 4.376 Å
α = 90.00°, β = 90.00°, γ = 90.00°
Fractional coordinates of all 4 atoms:
Er 0.000 0.000 0.000
Zr 0.500 0.500 0.000
Sn 0.000 0.500 0.500
Sn 0.500 0.000 0.500

---

(ii)
Density functional theory data (GGA-PBE) for crystalline ErZrSn2 at its relaxed geometry.

Computed properties:
space-group type	R-3m, No. 166
DOS(E_F)	1.9	states/eV/f.u.
total magnetization	0.00	μB per formula unit
volume	24.8	Å³/atom

a = 10.160 Å, b = 10.160 Å, c = 10.160 Å
α = 19.22°, β = 19.22°, γ = 19.22°
Fractional coordinates of all 4 atoms:
Er 0.000 0.000 0.000
Zr 0.500 0.500 0.500
Sn 0.247 0.247 0.247
Sn 0.753 0.753 0.753

---

Tell me which of them is the least stable. Sure, it is (ii).

---

(i)
Density functional theory data (GGA-PBE) for crystalline SrTbEr2 at its relaxed geometry.

Computed properties:
space-group type	P4/mmm, No. 123
DOS(E_F)	5.6	states/eV/f.u.
total magnetization	0.00	μB per formula unit
volume	35.3	Å³/atom

a = 3.662 Å, b = 3.662 Å, c = 10.523 Å
α = 90.00°, β = 90.00°, γ = 90.00°
Fractional coordinates of all 4 atoms:
Sr 0.000 0.000 0.000
Tb 0.000 0.000 0.500
Er 0.500 0.500 0.280
Er 0.500 0.500 0.720

---

(ii)
Density functional theory data (GGA-PBE) for crystalline SrTbEr2 at its relaxed geometry.

Computed properties:
space-group type	R-3m, No. 166
DOS(E_F)	5.3	states/eV/f.u.
total magnetization	0.00	μB per formula unit
volume	35.4	Å³/atom

a = 12.867 Å, b = 12.867 Å, c = 12.867 Å
α = 16.02°, β = 16.02°, γ = 16.02°
Fractional coordinates of all 4 atoms:
Sr 0.000 0.000 0.000
Tb 0.500 0.500 0.500
Er 0.093 0.093 0.093
Er 0.907 0.907 0.907

---

Tell me which of them is the least stable. Sure, it is (ii).

---

(i)
Density functional theory data (GGA-PBE) for crystalline SrTb2Er at its relaxed geometry.

Computed properties:
space-group type	R3m, No. 160
DOS(E_F)	5.6	states/eV/f.u.
total magnetization	0.00	μB per formula unit
volume	35.2	Å³/atom

a = 12.309 Å, b = 12.309 Å, c = 12.309 Å
α = 17.12°, β = 17.12°, γ = 17.12°
Fractional coordinates of all 4 atoms:
Sr 0.000 0.000 0.000
Tb 0.576 0.576 0.576
Tb 0.756 0.756 0.756
Er 0.166 0.166 0.166

---

(ii)
Density functional theory data (GGA-PBE) for crystalline SrTb2Er at its relaxed geometry.

Computed properties:
space-group type	P4/mmm, No. 123
DOS(E_F)	6.0	states/eV/f.u.
total magnetization	0.01	μB per formula unit
volume	36.9	Å³/atom

a = 4.013 Å, b = 4.013 Å, c = 9.177 Å
α = 90.00°, β = 90.00°, γ = 90.00°
Fractional coordinates of all 4 atoms:
Sr 0.000 0.000 0.000
Tb 0.500 0.500 0.297
Tb 0.500 0.500 0.703
Er 0.000 0.000 0.500

---

Tell me which of them is the least stable. Sure, it is (ii).

---

(i)
Density functional theory data (GGA-PBE) for crystalline SrEr2Tc at its relaxed geometry.

Computed properties:
space-group type	P4/mmm, No. 123
DOS(E_F)	6.2	states/eV/f.u.
total magnetization	0.00	μB per formula unit
volume	29.4	Å³/atom

a = 3.502 Å, b = 3.502 Å, c = 9.586 Å
α = 90.00°, β = 90.00°, γ = 90.00°
Fractional coordinates of all 4 atoms:
Sr 0.000 0.000 0.000
Er 0.500 0.500 0.334
Er 0.500 0.500 0.666
Tc 0.000 0.000 0.500

---

(ii)
Density functional theory data (GGA-PBE) for crystalline SrEr2Tc at its relaxed geometry.

Computed properties:
space-group type	R-3m, No. 166
DOS(E_F)	2.5	states/eV/f.u.
total magnetization	0.00	μB per formula unit
volume	30.6	Å³/atom

a = 11.167 Å, b = 11.167 Å, c = 11.167 Å
α = 18.48°, β = 18.48°, γ = 18.48°
Fractional coordinates of all 4 atoms:
Sr 0.000 0.000 0.000
Er 0.109 0.109 0.109
Er 0.891 0.891 0.891
Tc 0.500 0.500 0.500

---

Tell me which of them is the least stable. Sure, it is (ii).

---

(i)
Density functional theory data (GGA-PBE) for crystalline SrEr2Th at its relaxed geometry.

Computed properties:
space-group type	P4/mmm, No. 123
DOS(E_F)	4.3	states/eV/f.u.
total magnetization	0.00	μB per formula unit
volume	35.5	Å³/atom

a = 3.672 Å, b = 3.672 Å, c = 10.530 Å
α = 90.00°, β = 90.00°, γ = 90.00°
Fractional coordinates of all 4 atoms:
Sr 0.000 0.000 0.000
Er 0.500 0.500 0.284
Er 0.500 0.500 0.716
Th 0.000 0.000 0.500

---

(ii)
Density functional theory data (GGA-PBE) for crystalline SrEr2Th at its relaxed geometry.

Computed properties:
space-group type	R-3m, No. 166
DOS(E_F)	4.2	states/eV/f.u.
total magnetization	0.00	μB per formula unit
volume	35.4	Å³/atom

a = 12.762 Å, b = 12.762 Å, c = 12.762 Å
α = 16.23°, β = 16.23°, γ = 16.23°
Fractional coordinates of all 4 atoms:
Sr 0.000 0.000 0.000
Er 0.094 0.094 0.094
Er 0.906 0.906 0.906
Th 0.500 0.500 0.500

---

Tell me which of them is the least stable. Sure, it is (ii).

---

(i)
Density functional theory data (GGA-PBE) for crystalline SrErTl at its relaxed geometry.

Computed properties:
space-group type	P3m1, No. 156
DOS(E_F)	2.0	states/eV/f.u.
total magnetization	0.00	μB per formula unit
volume	34.0	Å³/atom

a = 5.426 Å, b = 5.426 Å, c = 4.000 Å
α = 90.00°, β = 90.00°, γ = 120.00°
Fractional coordinates of all 3 atoms:
Sr 0.000 0.000 0.000
Er 0.333 0.667 0.520
Tl 0.667 0.333 0.442

---

(ii)
Density functional theory data (GGA-PBE) for crystalline SrErTl at its relaxed geometry.

Computed properties:
space-group type	I4mm, No. 107
DOS(E_F)	3.4	states/eV/f.u.
total magnetization	0.00	μB per formula unit
volume	34.5	Å³/atom

a = 7.394 Å, b = 7.394 Å, c = 7.394 Å
α = 149.58°, β = 149.58°, γ = 43.56°
Fractional coordinates of all 3 atoms:
Sr 0.000 0.000 0.000
Er 0.285 0.285 0.000
Tl 0.667 0.667 0.000

---

(iii)
Density functional theory data (GGA-PBE) for crystalline SrErTl at its relaxed geometry.

Computed properties:
space-group type	P4/nmm, No. 129
DOS(E_F)	1.8	states/eV/f.u.
total magnetization	0.00	μB per formula unit
volume	35.1	Å³/atom

a = 5.098 Å, b = 5.098 Å, c = 8.092 Å
α = 90.00°, β = 90.00°, γ = 90.00°
Fractional coordinates of all 6 atoms:
Sr 0.250 0.250 0.142
Sr 0.750 0.750 0.858
Er 0.250 0.750 0.500
Er 0.750 0.250 0.500
Tl 0.250 0.250 0.726
Tl 0.750 0.750 0.274

---

Tell me which of them is the least stable. Sure, it is (i).

---

(i)
Density functional theory data (GGA-PBE) for crystalline SrY2Er at its relaxed geometry.

Computed properties:
space-group type	P4/mmm, No. 123
DOS(E_F)	5.9	states/eV/f.u.
total magnetization	0.00	μB per formula unit
volume	35.8	Å³/atom

a = 3.678 Å, b = 3.678 Å, c = 10.585 Å
α = 90.00°, β = 90.00°, γ = 90.00°
Fractional coordinates of all 4 atoms:
Sr 0.000 0.000 0.000
Y 0.500 0.500 0.281
Y 0.500 0.500 0.719
Er 0.000 0.000 0.500

---

(ii)
Density functional theory data (GGA-PBE) for crystalline SrY2Er at its relaxed geometry.

Computed properties:
space-group type	R-3m, No. 166
DOS(E_F)	6.7	states/eV/f.u.
total magnetization	0.00	μB per formula unit
volume	35.6	Å³/atom

a = 12.404 Å, b = 12.404 Å, c = 12.404 Å
α = 16.99°, β = 16.99°, γ = 16.99°
Fractional coordinates of all 4 atoms:
Sr 0.000 0.000 0.000
Y 0.243 0.243 0.243
Y 0.757 0.757 0.757
Er 0.500 0.500 0.500

---

Tell me which of them is the least stable. Sure, it is (ii).

---

(i)
Density functional theory data (GGA-PBE) for crystalline SrYEr at its relaxed geometry.

Computed properties:
space-group type	P3m1, No. 156
DOS(E_F)	5.5	states/eV/f.u.
total magnetization	0.00	μB per formula unit
volume	36.7	Å³/atom

a = 3.711 Å, b = 3.711 Å, c = 9.229 Å
α = 90.00°, β = 90.00°, γ = 120.00°
Fractional coordinates of all 3 atoms:
Sr 0.000 0.000 0.000
Y 0.667 0.333 0.356
Er 0.333 0.667 0.649

---

(ii)
Density functional theory data (GGA-PBE) for crystalline SrYEr at its relaxed geometry.

Computed properties:
space-group type	I4mm, No. 107
DOS(E_F)	5.2	states/eV/f.u.
total magnetization	0.00	μB per formula unit
volume	37.1	Å³/atom

a = 8.431 Å, b = 8.431 Å, c = 8.431 Å
α = 154.47°, β = 154.47°, γ = 36.42°
Fractional coordinates of all 3 atoms:
Sr 0.000 0.000 0.000
Y 0.318 0.318 0.000
Er 0.679 0.679 0.000

---

Tell me which of them is the least stable. Sure, it is (i).

---

(i)
Density functional theory data (GGA-PBE) for crystalline SrYEr2 at its relaxed geometry.

Computed properties:
space-group type	P4/mmm, No. 123
DOS(E_F)	5.7	states/eV/f.u.
total magnetization	0.00	μB per formula unit
volume	35.3	Å³/atom

a = 3.659 Å, b = 3.659 Å, c = 10.560 Å
α = 90.00°, β = 90.00°, γ = 90.00°
Fractional coordinates of all 4 atoms:
Sr 0.000 0.000 0.000
Y 0.000 0.000 0.500
Er 0.500 0.500 0.278
Er 0.500 0.500 0.722

---

(ii)
Density functional theory data (GGA-PBE) for crystalline SrYEr2 at its relaxed geometry.

Computed properties:
space-group type	R-3m, No. 166
DOS(E_F)	5.5	states/eV/f.u.
total magnetization	0.00	μB per formula unit
volume	35.5	Å³/atom

a = 12.883 Å, b = 12.883 Å, c = 12.883 Å
α = 16.02°, β = 16.02°, γ = 16.02°
Fractional coordinates of all 4 atoms:
Sr 0.000 0.000 0.000
Y 0.500 0.500 0.500
Er 0.093 0.093 0.093
Er 0.907 0.907 0.907

---

Tell me which of them is the least stable. Sure, it is (ii).